Entry 1:
Below is Li6Ag8Sb after structural relaxation, with properties calculated at the GGA-PBE level.

Unit cell a=7.646 b=7.646 c=6.965 alpha=56.71 beta=56.71 gamma=60.00
Element x y z (fractional)
Li 0.380 0.105 0.870
Li 0.895 0.355 0.130
Li 0.355 0.620 0.130
Li 0.645 0.380 0.870
Li 0.105 0.645 0.870
Li 0.620 0.895 0.130
Ag 0.588 0.174 0.378
Ag 0.826 0.140 0.622
Ag 0.140 0.412 0.622
Ag 0.751 0.751 0.746
Ag 0.249 0.249 0.254
Ag 0.860 0.588 0.378
Ag 0.174 0.860 0.378
Ag 0.412 0.826 0.622
Sb 0.000 0.000 0.000

uncorrected energy	-40.2	eV per formula unit
uncorrected formation energy	-0.12	eV/atom


Entry 2:
Below is Li4AgSb after structural relaxation, with properties calculated at the GGA-PBE level.

Unit cell a=4.695 b=4.695 c=6.161 alpha=89.97 beta=89.98 gamma=90.00
Element x y z (fractional)
Li 0.501 0.997 0.231
Li 0.501 0.997 0.766
Li 0.002 0.498 0.766
Li 0.001 0.498 0.231
Ag 0.001 0.998 0.498
Sb 0.501 0.497 0.998

uncorrected energy	-16.4	eV per formula unit
offset from the most stable computed form	97	meV/atom
uncorrected formation energy	-0.29	eV/atom